No. 1
Cs2SbAuCl6: relaxed, GGA-PBE.

extended XYZ file:
```
10
Lattice="6.6196 -1.0825 -3.5454 4.4189 -5.8599 1.9221 0.8392 -5.8422 -4.7671" Properties=species:S:1:pos:R:3 pbc="T T T"
Cs 8.9083 -9.5885 -4.7927
Cs 2.9694 -3.1962 -1.5976
Cl 5.1844 -6.1280 -0.6550
Cl 6.6933 -6.6566 -5.7353
Cl 3.4074 -6.1192 -3.9754
Cl 6.2768 -3.7566 -3.3690
Cl 8.4703 -6.6654 -2.4149
Cl 5.6010 -9.0280 -3.0213
Au 0.0000 0.0000 0.0000
Sb 5.9389 -6.3923 -3.1952
```

Computed properties:
Calculated volume, Å³/atom: 30.880
SG: Fm-3m, No. 225
Total energy, eV/atom: -3.20

---

No. 2
Cs2ScAuCl6: relaxed, GGA-PBE.

extended XYZ file:
```
10
Lattice="0.0000 5.2486 5.2486 5.2486 0.0000 5.2486 5.2486 5.2486 0.0000" Properties=species:S:1:pos:R:3 pbc="T T T"
Au 0.0000 0.0000 0.0000
Cs 7.8729 7.8729 7.8729
Cs 2.6243 2.6243 2.6243
Cl 2.7470 5.2486 5.2486
Cl 5.2486 2.7470 5.2486
Cl 5.2486 5.2486 2.7470
Cl 7.7502 5.2486 5.2486
Cl 5.2486 5.2486 7.7502
Cl 5.2486 7.7502 5.2486
Sc 5.2486 5.2486 5.2486
```

Computed properties:
Calculated volume, Å³/atom: 28.917
Total magnetization, μB/atom: 0.00
SG: Fm-3m, No. 225
Total energy, eV/atom: -3.89

---

No. 3
Cs2SnAuCl6: relaxed, GGA-PBE.

extended XYZ file:
```
10
Lattice="1.2361 0.4818 7.4652 5.8780 4.6554 -1.1250 -6.8173 1.6132 -2.9002" Properties=species:S:1:pos:R:3 pbc="T T T"
Cs 1.3089 4.4186 -0.4275
Cs -1.0121 2.3318 3.8676
Cl 1.9229 4.6647 3.3054
Cl -1.6261 2.0857 0.1346
Cl 2.3937 1.5226 5.3230
Cl 4.7204 3.6146 1.0172
Cl 5.3045 3.8304 4.7275
Cl 1.8096 1.3068 1.6128
Sn 3.5571 2.5686 3.1701
Au 0.0000 0.0000 0.0000
```

Computed properties:
Calculated volume, Å³/atom: 30.517
SG: I4/mmm, No. 139
Total energy, eV/atom: -3.24

---

No. 4
Cs2SnAuCl6: relaxed, GGA-PBE.

extended XYZ file:
```
10
Lattice="-3.7715 3.7715 5.3437 3.7715 -3.7715 5.3437 3.7715 3.7715 -5.3437" Properties=species:S:1:pos:R:3 pbc="T T T"
Cl -1.8913 1.8913 5.3437
Cl 1.8802 1.8802 0.0000
Cl 0.0000 0.0000 8.0240
Cl 0.0000 0.0000 2.6635
Cl 1.8913 -1.8913 5.3437
Cl 1.8913 1.8913 5.3437
Sn 0.0000 0.0000 0.0000
Cs 3.7715 0.0000 2.6719
Cs 0.0000 3.7715 2.6719
Au 0.0000 0.0000 5.3437
```

Computed properties:
Calculated volume, Å³/atom: 30.404
SG: I4/mmm, No. 139
Total energy, eV/atom: -3.24

---

No. 5
K2CuAuCl6: relaxed, GGA-PBE.

extended XYZ file:
```
20
Lattice="-2.0375 -4.5063 -5.3762 -0.8254 -6.8777 6.0691 -8.6211 -0.9705 4.0193" Properties=species:S:1:pos:R:3 pbc="T T T"
K -5.8913 -8.6003 3.4936
K -2.9595 -9.5113 -0.7586
K -4.9651 -2.3574 2.8806
K -9.5053 -5.0258 2.8688
Cu -3.3724 -5.0418 -4.0315
Cu -8.9650 -9.2099 6.4845
Cl -2.7196 -1.9656 0.5094
Cl -8.6252 -10.0958 4.5500
Cl -1.9820 -6.5792 2.1141
Cl -2.3729 -4.4048 1.5377
Cl -10.1887 -7.2900 0.8034
Cl -4.6393 -4.8786 -1.5101
Cl -9.3463 -8.4590 2.5702
Cl -8.1388 -2.2162 2.5709
Cl -6.8034 -7.3761 6.3349
Cl -5.8260 -8.5471 -0.0203
Cl -3.2716 -9.9855 2.3202
Cl -6.4470 -5.5487 2.6577
Au -5.6308 -5.1906 0.5432
Au -5.2280 -5.7674 5.8264
```

Computed properties:
Calculated volume, Å³/atom: 28.981
SG: P1, No. 1
Total energy, eV/atom: -2.95

---

No. 6
Na2CuAuCl6: relaxed, GGA-PBE.

extended XYZ file:
```
10
Lattice="-1.3141 3.7983 5.9468 -7.0802 -1.1258 -0.3492 4.7115 -5.4142 -0.0806" Properties=species:S:1:pos:R:3 pbc="T T T"
Cl -2.4239 0.7717 1.6163
Cl -5.9704 1.9008 3.9813
Cl -2.7011 2.6138 4.4323
Cl -5.6932 0.0586 1.1653
Cl -3.9302 -0.7799 4.2094
Cl 0.2475 -1.9619 1.3078
Na -3.2829 -2.6019 1.1846
Na -0.3999 -0.1399 4.3326
Cu -4.1971 1.3362 2.7988
Au 0.0000 0.0000 0.0000
```

Computed properties:
Calculated volume, Å³/atom: 25.346
SG: I4/mmm, No. 139
Total energy, eV/atom: -2.92

---

No. 7
AuClF6: relaxed, GGA-PBE.

extended XYZ file:
```
32
Lattice="-1.1491 1.5096 -3.8052 5.4011 -3.3224 -2.9491 -7.5236 -12.2889 0.0652" Properties=species:S:1:pos:R:3 pbc="T T T"
F -1.1391 -3.5491 -3.6930
F -6.5591 -11.8818 -0.7450
F 3.2874 -2.2198 -5.9441
F -1.7952 -7.5518 -5.1903
F -3.3467 -8.1647 -2.9923
F -2.4393 -12.8487 -4.3454
F -4.4750 -13.7809 -2.7491
F -0.8324 -1.2529 -2.3437
F 1.4552 -5.5211 -5.9864
F -4.0953 -5.5199 -3.0683
F -4.6346 -11.0432 -2.4331
F -5.8514 -9.1089 -3.1415
F -3.8918 -10.6905 -5.0883
F -0.9398 -10.1005 -5.0202
F -2.3319 -4.0012 -1.6690
F 0.0751 -5.9370 -3.6969
F 1.2033 -0.3208 -3.9400
F 0.6201 -3.4112 -1.6009
F -1.4764 -6.5499 -1.4988
F 0.8236 -8.5817 -3.6208
F -4.7268 -8.5805 -0.7027
F 2.5797 -4.9928 -3.5477
F 1.3629 -3.0585 -4.2561
F -2.1325 -10.5525 -2.9961
Au 0.7903 -1.5327 -1.2383
Au -4.0620 -12.5689 -5.4508
Au -3.1451 -7.5704 -1.1109
Au -0.1266 -6.5313 -5.5782
Cl -6.0740 -10.3621 -2.1213
Cl -1.3513 -4.8087 -2.6786
Cl 2.8024 -3.7396 -4.5678
Cl -1.9204 -9.2929 -4.0105
```

Computed properties:
Calculated volume, Å³/atom: 13.204
SG: P2_1/c, No. 14
Total energy, eV/atom: -2.80

---

No. 8
PAuClF3: relaxed, GGA-PBE.

extended XYZ file:
```
24
Lattice="-11.0768 5.7757 12.7557 2.6067 -2.7400 3.5042 2.6823 3.5025 0.7434" Properties=species:S:1:pos:R:3 pbc="T T T"
F -5.4912 3.9841 10.8443
F -4.6280 6.0602 10.0775
F -4.0218 4.9781 14.3213
F -0.5646 0.2974 4.2969
F -0.2966 2.5541 6.1589
F -1.1598 0.4780 6.9257
F -6.3519 3.8182 13.3996
F -6.6926 5.2469 9.2293
F -1.7660 1.5602 2.6819
F -5.2232 6.2409 12.7063
F 0.9047 1.2914 7.7739
F 0.5641 2.7201 3.6037
Cl 2.6771 0.6339 4.1935
Cl -3.5947 2.1440 6.2468
Cl -8.4649 5.9044 12.8098
Cl -2.1931 4.3943 10.7565
Au -1.4990 2.9480 9.1093
Au -6.5187 6.5131 15.6309
Au -4.2888 3.5903 7.8940
Au 0.7309 0.0251 1.3724
P -0.9456 0.2375 2.7855
P -0.5469 1.7898 7.4955
P -5.2409 4.7485 9.5078
P -4.8422 6.3008 14.2178
```

Computed properties:
Calculated volume, Å³/atom: 17.159
SG: Pnma, No. 62
Total energy, eV/atom: -4.37